No. 1
NaYSe2O6: relaxed, GGA-PBEsol.

a = 12.5846 Å, b = 8.5469 Å, c = 5.3841 Å
α = 90.00°, β = 90.00°, γ = 90.00°
Last column: nearest neighbours and their distance in Å.
Space group Pna2_1 (No. 33)
Unique sites:
Na 0.1202 0.0083 0.0000 [4 per cell]  5 O 2.39-2.50
Y 0.0837 0.6764 0.5515 [4 per cell]  7 O 2.25-2.49
Se 0.0854 0.2680 0.4958 [4 per cell]  3 O 1.70-1.76
Se 0.1988 0.4685 0.0447 [4 per cell]  3 O 1.71-1.73
O 0.0148 0.4374 0.4101 [4 per cell]  1 Se 1.76
O 0.0164 0.1486 0.2982 [4 per cell]  1 Se 1.71
O 0.0326 0.2218 0.7780 [4 per cell]  1 Se 1.70
O 0.1753 0.9003 0.6005 [4 per cell]  1 Se 1.71
O 0.1996 0.6320 0.2301 [4 per cell]  1 Se 1.72
O 0.2139 0.5428 0.7481 [4 per cell]  1 Se 1.73

E_tot = -6.53 eV/atom


No. 2
Na2Si3O7: relaxed, GGA-PBEsol.

a = 8.9627 Å, b = 4.8555 Å, c = 11.5427 Å
α = 90.00°, β = 102.31°, γ = 90.00°
Last column: nearest neighbours and their distance in Å.
Space group C2/c (No. 15)
Unique sites:
Na 0.1467 0.2023 0.1821 [8 per cell]  5 O 2.32-2.59
Si 0.0434 0.2869 0.8856 [8 per cell]  4 O 1.60-1.67
Si 0.2500 0.2500 0.5000 [4 per cell]  6 O 1.77-1.83
O 0.0000 0.1470 0.7500 [4 per cell]  2 Si 1.67
O 0.1231 0.3729 0.5887 [8 per cell]  2 Si 1.64-1.79
O 0.1354 0.0479 0.9658 [8 per cell]  2 Si 1.60-1.77
O 0.1409 0.4332 0.3711 [8 per cell]  2 Si 1.64-1.83

E_tot = -7.29 eV/atom


No. 3
NaSmSiO4: relaxed, GGA-PBEsol.

a = 11.7886 Å, b = 11.7886 Å, c = 5.3281 Å
α = 90.00°, β = 90.00°, γ = 90.00°
Last column: nearest neighbours and their distance in Å.
Space group I4/m (No. 87)
Unique sites:
Na 0.0865 0.6070 0.0000 [8 per cell]  3 O 2.38-2.52
Sm 0.1223 0.1912 0.0000 [8 per cell]  6 O 2.30-2.42
Si 0.0977 0.7619 0.5000 [8 per cell]  4 O 1.63-1.66
O 0.0394 0.8065 0.2419 [16 per cell]  1 Si 1.63
O 0.1037 0.6212 0.5000 [8 per cell]  1 Si 1.66
O 0.1933 0.2310 0.5000 [8 per cell]  1 Si 1.66

E_tot = -7.67 eV/atom


No. 4
Na4Si3Sn2O12: relaxed, GGA-PBEsol.

a = 9.0983 Å, b = 9.0983 Å, c = 21.9040 Å
α = 90.00°, β = 90.00°, γ = 120.00°
Last column: nearest neighbours and their distance in Å.
Space group R-3c (No. 167, hexagonal axes)
Unique sites:
Na 0.0000 0.0000 0.0000 [6 per cell]  6 O 2.43
Na 0.0000 0.3684 0.2500 [18 per cell]  6 O 2.50-2.56
Si 0.0000 0.2947 0.7500 [18 per cell]  4 O 1.63-1.64
Sn 0.0000 0.0000 0.1460 [12 per cell]  6 O 2.02-2.08
O 0.0203 0.1832 0.4157 [36 per cell]  1 Si 1.64
O 0.0261 0.2083 0.6888 [36 per cell]  1 Si 1.63

E_tot = -6.74 eV/atom


| no. | size of the total moment (μB/atom) |
| --- | --- |
| 1 | 0.000 |
| 2 | 0.000 |
| 3 | 0.000 |
| 4 | 0.000 |